Record 1
The following is a PBE calculation of a relaxed KAg2Bi2 crystal, from Alexandria.

Structure (CIF):
```
data_KAg2Bi2
_space_group_name_H-M_alt 'I 4/m m m'
_space_group_IT_number 139
_space_group_name_Hall '-I 4 2'
_cell_length_a 5.254
_cell_length_b 5.254
_cell_length_c 11.183
_cell_angle_alpha 90.00
_cell_angle_beta 90.00
_cell_angle_gamma 90.00
loop_
_atom_site_label
_atom_site_fract_x
_atom_site_fract_y
_atom_site_fract_z
_atom_site_occupancy
K1 0.000 0.000 0.000 1
Ag1 0.000 0.000 0.371 1
Bi1 0.000 0.500 0.250 1
```

Calculated values
- Calculated formation energy: -0.05 eV per atom
- Excess energy over the best structure of this formula in the dataset: 0.071 eV per atom
- VASP energy: -2.9643 eV per atom
- Mass density: 7.24 g/cm3

***

Record 2
The following is a PBE calculation of a relaxed KAgBi2 crystal, from Alexandria.

Structure (CIF):
```
data_KAgBi2
_space_group_name_H-M_alt 'R -3 m'
_space_group_IT_number 166
_space_group_name_Hall '-R 3 2"'
_cell_length_a 5.2597
_cell_length_b 5.2597
_cell_length_c 18.7742
_cell_angle_alpha 90.00
_cell_angle_beta 90.00
_cell_angle_gamma 120.00
loop_
_atom_site_label
_atom_site_fract_x
_atom_site_fract_y
_atom_site_fract_z
_atom_site_occupancy
K1 0.0000 0.0000 0.0000 1
Ag1 0.0000 0.0000 0.5000 1
Bi1 0.0000 0.0000 0.1988 1
```

Calculated values
- Calculated formation energy: -0.09 eV per atom
- Excess energy over the best structure of this formula in the dataset: 0.000 eV per atom
- VASP energy: -3.0201 eV per atom
- Mass density: 6.26 g/cm3

***

Record 3
The following is a PBE calculation of a relaxed KAgBi2 crystal, from Alexandria.

Structure (CIF):
```
data_KAgBi2
_space_group_name_H-M_alt 'F m -3 m'
_space_group_IT_number 225
_space_group_name_Hall '-F 4 2 3'
_cell_length_a 7.739
_cell_length_b 7.739
_cell_length_c 7.739
_cell_angle_alpha 90.00
_cell_angle_beta 90.00
_cell_angle_gamma 90.00
loop_
_atom_site_label
_atom_site_fract_x
_atom_site_fract_y
_atom_site_fract_z
_atom_site_occupancy
K1 0.000 0.000 0.000 1
Ag1 0.000 0.000 0.500 1
Bi1 0.250 0.250 0.250 1
```

Calculated values
- Calculated formation energy: 0.07 eV per atom
- Excess energy over the best structure of this formula in the dataset: 0.158 eV per atom
- VASP energy: -2.8620 eV per atom
- Mass density: 8.09 g/cm3

***

Record 4
The following is a PBE calculation of a relaxed KLaAgBi crystal, from Alexandria.

Structure (CIF):
```
data_KLaAgBi
_space_group_name_H-M_alt 'F -4 3 m'
_space_group_IT_number 216
_space_group_name_Hall 'F -4 2 3'
_cell_length_a 7.984
_cell_length_b 7.984
_cell_length_c 7.984
_cell_angle_alpha 90.00
_cell_angle_beta 90.00
_cell_angle_gamma 90.00
loop_
_atom_site_label
_atom_site_fract_x
_atom_site_fract_y
_atom_site_fract_z
_atom_site_occupancy
K1 0.000 0.000 0.000 1
La1 0.000 0.000 0.500 1
Ag1 0.250 0.250 0.750 1
Bi1 0.250 0.250 0.250 1
```

Calculated values
- Calculated formation energy: -0.37 eV per atom
- VASP energy: -3.5577 eV per atom
- Mass density: 6.46 g/cm3

***

Record 5
The following is a PBE calculation of a relaxed KAg2BiN crystal, from Alexandria.

Structure (CIF):
```
data_KAg2BiN
_space_group_name_H-M_alt 'P 4/m m m'
_space_group_IT_number 123
_space_group_name_Hall '-P 4 2'
_cell_length_a 5.610
_cell_length_b 5.610
_cell_length_c 4.661
_cell_angle_alpha 90.00
_cell_angle_beta 90.00
_cell_angle_gamma 90.00
loop_
_atom_site_label
_atom_site_fract_x
_atom_site_fract_y
_atom_site_fract_z
_atom_site_occupancy
K1 0.000 0.000 0.000 1
Ag1 0.000 0.500 0.500 1
Bi1 0.500 0.500 0.500 1
N1 0.500 0.500 0.000 1
```

Calculated values
- VASP energy: -3.0489 eV per atom
- Mass density: 5.41 g/cm3
- Raw formation energy: 0.75 eV per atom

***

Record 6
The following is a PBE calculation of a relaxed K2AgBiO4 crystal, from Alexandria.

Structure (CIF):
```
data_K2AgBiO4
_space_group_name_H-M_alt 'I -4'
_space_group_IT_number 82
_cell_length_a 6.504
_cell_length_b 6.504
_cell_length_c 7.466
_cell_angle_alpha 90.00
_cell_angle_beta 90.00
_cell_angle_gamma 90.00
loop_
_space_group_symop_operation_xyz
'x,y,z'
'y,-x,-z'
'-x,-y,z'
'-y,x,-z'
'x+1/2,y+1/2,z+1/2'
'y+1/2,-x+1/2,-z+1/2'
'-x+1/2,-y+1/2,z+1/2'
'-y+1/2,x+1/2,-z+1/2'
loop_
_atom_site_label
_atom_site_fract_x
_atom_site_fract_y
_atom_site_fract_z
_atom_site_occupancy
K1 0.000 0.000 0.000 1
K2 0.000 0.500 0.250 1
Ag1 0.000 0.500 0.750 1
Bi1 0.000 0.000 0.500 1
O1 0.160 0.207 0.661 1
```

Calculated values
- VASP energy: -4.5552 eV per atom
- Mass density: 4.83 g/cm3
- Raw formation energy: -0.96 eV per atom

***

Record 7
The following is a PBE calculation of a relaxed K3Ag2BiO6 crystal, from Alexandria.

Structure (CIF):
```
data_K3Ag2BiO6
_space_group_name_H-M_alt 'P -3 m 1'
_space_group_IT_number 164
_space_group_name_Hall '-P 3 2"'
_cell_length_a 6.4294
_cell_length_b 6.4294
_cell_length_c 7.1853
_cell_angle_alpha 90.00
_cell_angle_beta 90.00
_cell_angle_gamma 120.00
loop_
_atom_site_label
_atom_site_fract_x
_atom_site_fract_y
_atom_site_fract_z
_atom_site_occupancy
K1 0.0000 0.0000 0.0000 1
K2 0.3333 0.6667 0.7446 1
Ag1 0.3333 0.6667 0.3111 1
Bi1 0.0000 0.0000 0.5000 1
O1 0.1479 0.2958 0.3021 1
```

Calculated values
- VASP energy: -4.2815 eV per atom
- Mass density: 4.12 g/cm3
- Raw formation energy: -0.73 eV per atom

***

Record 8
The following is a PBE calculation of a relaxed K2AgBiP crystal, from Alexandria.

Structure (CIF):
```
data_K2AgBiP
_space_group_name_H-M_alt 'P 4/m m m'
_space_group_IT_number 123
_space_group_name_Hall '-P 4 2'
_cell_length_a 5.986
_cell_length_b 5.986
_cell_length_c 5.322
_cell_angle_alpha 90.00
_cell_angle_beta 90.00
_cell_angle_gamma 90.00
loop_
_atom_site_label
_atom_site_fract_x
_atom_site_fract_y
_atom_site_fract_z
_atom_site_occupancy
K1 0.000 0.500 0.000 1
Ag1 0.000 0.000 0.000 1
Bi1 0.000 0.000 0.500 1
P1 0.500 0.500 0.500 1
```

Calculated values
- Calculated formation energy: 0.43 eV per atom
- VASP energy: -2.4370 eV per atom
- Mass density: 3.71 g/cm3

***

Record 9
The following is a PBE calculation of a relaxed K2AgBi4Pd3 crystal, from Alexandria.

Structure (CIF):
```
data_K2AgBi4Pd3
_space_group_name_H-M_alt 'P -4 m 2'
_space_group_IT_number 115
_cell_length_a 4.989
_cell_length_b 4.989
_cell_length_c 11.021
_cell_angle_alpha 90.00
_cell_angle_beta 90.00
_cell_angle_gamma 90.00
loop_
_space_group_symop_operation_xyz
'x,y,z'
'y,-x,-z'
'-x,-y,z'
'-y,x,-z'
'-x,y,z'
'-y,-x,-z'
'x,-y,z'
'y,x,-z'
loop_
_atom_site_label
_atom_site_fract_x
_atom_site_fract_y
_atom_site_fract_z
_atom_site_occupancy
K1 0.000 0.500 0.242 1
Ag1 0.500 0.500 0.000 1
Bi1 0.000 0.000 0.500 1
Bi2 0.000 0.500 0.872 1
Bi3 0.500 0.500 0.500 1
Pd1 0.000 0.000 0.000 1
Pd2 0.000 0.500 0.621 1
```

Calculated values
- Calculated formation energy: -0.27 eV per atom
- VASP energy: -3.8821 eV per atom
- Mass density: 8.12 g/cm3

***

Record 10
The following is a PBE calculation of a relaxed KAgBiPd crystal, from Alexandria.

Structure (CIF):
```
data_KAgBiPd
_space_group_name_H-M_alt 'P 4/n m m'
_space_group_IT_number 129
_cell_length_a 3.973
_cell_length_b 3.973
_cell_length_c 14.681
_cell_angle_alpha 90.00
_cell_angle_beta 90.00
_cell_angle_gamma 90.00
loop_
_space_group_symop_operation_xyz
'x,y,z'
'-x,-y,-z'
'-y+1/2,x,z'
'y+1/2,-x,-z'
'-x+1/2,-y+1/2,z'
'x+1/2,y+1/2,-z'
'y,-x+1/2,z'
'-y,x+1/2,-z'
'x+1/2,-y,-z'
'-x+1/2,y,z'
'-y,-x,-z'
'y,x,z'
'-x,y+1/2,-z'
'x,-y+1/2,z'
'y+1/2,x+1/2,-z'
'-y+1/2,-x+1/2,z'
loop_
_atom_site_label
_atom_site_fract_x
_atom_site_fract_y
_atom_site_fract_z
_atom_site_occupancy
K1 0.250 0.250 0.198 1
Ag1 0.250 0.750 0.000 1
Bi1 0.250 0.250 0.634 1
Pd1 0.250 0.750 0.500 1
```

Calculated values
- Calculated formation energy: -0.09 eV per atom
- VASP energy: -3.3460 eV per atom
- Mass density: 6.63 g/cm3

***

Record 11
The following is a PBE calculation of a relaxed KPmAgBi crystal, from Alexandria.

Structure (CIF):
```
data_KPmAgBi
_space_group_name_H-M_alt 'F -4 3 m'
_space_group_IT_number 216
_space_group_name_Hall 'F -4 2 3'
_cell_length_a 7.872
_cell_length_b 7.872
_cell_length_c 7.872
_cell_angle_alpha 90.00
_cell_angle_beta 90.00
_cell_angle_gamma 90.00
loop_
_atom_site_label
_atom_site_fract_x
_atom_site_fract_y
_atom_site_fract_z
_atom_site_occupancy
K1 0.000 0.000 0.000 1
Pm1 0.000 0.000 0.500 1
Ag1 0.250 0.250 0.250 1
Bi1 0.250 0.250 0.750 1
```

Calculated values
- Calculated formation energy: -0.28 eV per atom
- VASP energy: -3.4245 eV per atom
- Mass density: 6.82 g/cm3

***

Record 12
The following is a PBE calculation of a relaxed KRbAgBi crystal, from Alexandria.

Structure (CIF):
```
data_KRbAgBi
_space_group_name_H-M_alt 'F -4 3 m'
_space_group_IT_number 216
_space_group_name_Hall 'F -4 2 3'
_cell_length_a 8.066
_cell_length_b 8.066
_cell_length_c 8.066
_cell_angle_alpha 90.00
_cell_angle_beta 90.00
_cell_angle_gamma 90.00
loop_
_atom_site_label
_atom_site_fract_x
_atom_site_fract_y
_atom_site_fract_z
_atom_site_occupancy
K1 0.000 0.000 0.000 1
Rb1 0.250 0.250 0.250 1
Ag1 0.000 0.000 0.500 1
Bi1 0.250 0.250 0.750 1
```

Calculated values
- Calculated formation energy: -0.14 eV per atom
- VASP energy: -2.3382 eV per atom
- Mass density: 5.59 g/cm3

***

Record 13
The following is a PBE calculation of a relaxed KAg2Bi3S6 crystal, from Alexandria.

Structure (CIF):
```
data_KAg2Bi3S6
_space_group_name_H-M_alt 'C 1 2/m 1'
_space_group_IT_number 12
_cell_length_a 17.427
_cell_length_b 4.108
_cell_length_c 8.608
_cell_angle_alpha 90.00
_cell_angle_beta 104.14
_cell_angle_gamma 90.00
loop_
_space_group_symop_operation_xyz
'x,y,z'
'-x,-y,-z'
'-x,y,-z'
'x,-y,z'
'x+1/2,y+1/2,z'
'-x+1/2,-y+1/2,-z'
'-x+1/2,y+1/2,-z'
'x+1/2,-y+1/2,z'
loop_
_atom_site_label
_atom_site_fract_x
_atom_site_fract_y
_atom_site_fract_z
_atom_site_occupancy
K1 0.000 0.000 0.000 1
Ag1 0.166 0.500 0.305 1
Bi1 0.000 0.000 0.500 1
Bi2 0.167 0.500 0.831 1
S1 0.015 0.500 0.284 1
S2 0.173 0.000 0.614 1
S3 0.177 0.000 0.086 1
```

Calculated values
- VASP energy: -3.9968 eV per atom
- Mass density: 5.97 g/cm3
- Raw formation energy: -0.40 eV per atom